1.
VASP calculation (GGA-PBEsol) on crystalline Zr2TaCo at its relaxed geometry.

Cell lengths 3.3035, 4.5387, 9.3148 Å; angles 90.00, 90.00, 90.00 degrees
Space group Imm2 (No. 44)
Asymmetric unit:
Zr 0.0000 0.0000 0.0000
Zr 0.0000 0.5000 0.2313
Ta 0.0000 0.0000 0.4616
Co 0.0000 0.5000 0.7418

Summary:
formation energy from the elements = -0.018 eV/atom
crystal system = orthorhombic

=====

2.
VASP calculation (GGA-PBEsol) on crystalline TlSb2Se at its relaxed geometry.

Cell lengths 3.6009, 5.6743, 10.0137 Å; angles 90.00, 90.00, 90.00 degrees
Space group Cmmm (No. 65)
Asymmetric unit:
Tl 0.0000 0.0000 0.0000
Sb 0.0000 0.5000 0.2807
Se 0.0000 0.0000 0.5000

Summary:
formation energy from raw total energies = 0.5 eV per formula unit
crystal system = orthorhombic

=====

3.
VASP calculation (GGA-PBEsol) on crystalline Li2MnCdCo at its relaxed geometry.

Cell lengths 4.2943, 4.2943, 4.8386 Å; angles 90.00, 90.00, 90.00 degrees
Space group P4/mmm (No. 123)
Asymmetric unit:
Li 0.0000 0.5000 0.0000
Mn 0.0000 0.0000 0.5000
Cd 0.5000 0.5000 0.5000
Co 0.5000 0.5000 0.0000

Summary:
formation energy from the elements = 0.859 eV/atom
crystal system = tetragonal

=====

4.
VASP calculation (GGA-PBEsol) on crystalline MgCl8 at its relaxed geometry.

Cell lengths 7.8168, 7.8168, 6.8962 Å; angles 90.00, 90.00, 90.00 degrees
Space group I4/mmm (No. 139)
Asymmetric unit:
Mg 0.0000 0.0000 0.0000
Cl 0.0000 0.3051 0.0000
Cl 0.1720 0.1720 0.5000

Summary:
formation energy from raw total energies = -2.8 eV per formula unit
crystal system = tetragonal

=====

5.
VASP calculation (GGA-PBEsol) on crystalline SrLiAl2 at its relaxed geometry.

Cell lengths 6.9593, 6.9593, 6.9593 Å; angles 90.00, 90.00, 90.00 degrees
Space group F-43m (No. 216)
Asymmetric unit:
Sr 0.0000 0.0000 0.0000
Li 0.2500 0.2500 0.7500
Al 0.0000 0.0000 0.5000
Al 0.2500 0.2500 0.2500

Summary:
formation energy from the elements = -0.076 eV/atom
crystal system = cubic

=====

6.
VASP calculation (GGA-PBEsol) on crystalline BaScMo2 at its relaxed geometry.

Cell lengths 3.3085, 4.7206, 10.2252 Å; angles 90.00, 90.00, 90.00 degrees
Space group Immm (No. 71)
Asymmetric unit:
Ba 0.0000 0.0000 0.0000
Sc 0.0000 0.0000 0.5000
Mo 0.0000 0.5000 0.2433

Summary:
formation energy from the elements = 1.063 eV/atom
crystal system = orthorhombic

=====

7.
VASP calculation (GGA-PBEsol) on crystalline Y2HgSe at its relaxed geometry.

Cell lengths 3.6049, 3.7564, 15.0617 Å; angles 90.00, 90.00, 90.00 degrees
Space group Imm2 (No. 44)
Asymmetric unit:
Y 0.0000 0.0000 0.0000
Y 0.0000 0.5000 0.2346
Hg 0.0000 0.5000 0.8378
Se 0.0000 0.0000 0.5841

Summary:
formation energy from raw total energies = -4.0 eV per formula unit
crystal system = orthorhombic

=====

8.
VASP calculation (GGA-PBEsol) on crystalline P2IrPb at its relaxed geometry.

Cell lengths 2.9583, 5.5480, 9.3554 Å; angles 90.00, 90.00, 90.00 degrees
Space group Immm (No. 71)
Asymmetric unit:
P 0.0000 0.0000 0.1968
Ir 0.0000 0.5000 0.5000
Pb 0.0000 0.5000 0.0000

Summary:
formation energy from the elements = 0.232 eV/atom
crystal system = orthorhombic